Entry A
# Ga3CoNi (PBE, relaxed)
# V ... 143 Å³/cell
# D(E_F) ... 2.26 states/eV/f.u.
data_Ga3CoNi
_chemical_formula_sum 'Ga6 Co2 Ni2'
_cell_length_a 2.707
_cell_length_b 8.262
_cell_length_c 6.677
_cell_angle_alpha 72.81
_cell_angle_beta 90.00
_cell_angle_gamma 90.00
_symmetry_space_group_name_H-M 'P 1'
_symmetry_Int_Tables_number 1
loop_
_symmetry_equiv_pos_as_xyz
'x,y,z'
loop_
_atom_site_label
_atom_site_type_symbol
_atom_site_fract_x
_atom_site_fract_y
_atom_site_fract_z
Ga1 Ga 0.242 0.196 0.404
Ga2 Ga 0.242 0.533 0.053
Ga3 Ga 0.242 0.371 0.729
Ga4 Ga 0.242 0.873 0.725
Ga5 Ga 0.242 0.031 0.057
Ga6 Ga 0.242 0.709 0.378
Co1 Co 0.742 0.125 0.719
Co2 Co 0.742 0.779 0.063
Ni1 Ni 0.742 0.273 0.087
Ni2 Ni 0.743 0.632 0.696

=====

Entry B
# Ga3CoNi (PBE, relaxed)
# V ... 280 Å³/cell
# D(E_F) ... 2.05 states/eV/f.u.
data_Ga3CoNi
_chemical_formula_sum 'Ga12 Co4 Ni4'
_cell_length_a 4.043
_cell_length_b 8.579
_cell_length_c 8.579
_cell_angle_alpha 90.01
_cell_angle_beta 76.36
_cell_angle_gamma 76.36
_symmetry_space_group_name_H-M 'P 1'
_symmetry_Int_Tables_number 1
loop_
_symmetry_equiv_pos_as_xyz
'x,y,z'
loop_
_atom_site_label
_atom_site_type_symbol
_atom_site_fract_x
_atom_site_fract_y
_atom_site_fract_z
Ga1 Ga 0.630 0.528 0.713
Ga2 Ga 0.870 0.287 0.472
Ga3 Ga 0.370 0.472 0.287
Ga4 Ga 0.880 0.616 0.125
Ga5 Ga 0.123 0.037 0.217
Ga6 Ga 0.377 0.783 0.963
Ga7 Ga 0.620 0.875 0.384
Ga8 Ga 0.877 0.963 0.783
Ga9 Ga 0.380 0.125 0.616
Ga10 Ga 0.130 0.713 0.528
Ga11 Ga 0.120 0.384 0.875
Ga12 Ga 0.623 0.217 0.037
Co1 Co 0.750 0.916 0.084
Co2 Co 0.250 0.084 0.916
Co3 Co 0.250 0.754 0.246
Co4 Co 0.750 0.246 0.754
Ni1 Ni 0.504 0.820 0.674
Ni2 Ni 0.004 0.674 0.820
Ni3 Ni 0.996 0.326 0.180
Ni4 Ni 0.496 0.180 0.326

=====

Entry C
# Ga3CoNi (PBE, relaxed)
# V ... 89 Å³/cell
# D(E_F) ... 5.85 states/eV/f.u.
data_Ga3CoNi
_chemical_formula_sum 'Ga3 Co1 Ni1'
_cell_length_a 4.463
_cell_length_b 4.463
_cell_length_c 4.463
_cell_angle_alpha 90.00
_cell_angle_beta 90.00
_cell_angle_gamma 90.00
_symmetry_space_group_name_H-M 'P 1'
_symmetry_Int_Tables_number 1
loop_
_symmetry_equiv_pos_as_xyz
'x,y,z'
loop_
_atom_site_label
_atom_site_type_symbol
_atom_site_fract_x
_atom_site_fract_y
_atom_site_fract_z
Ga1 Ga 0.500 0.000 0.000
Ga2 Ga 0.000 0.000 0.500
Ga3 Ga 0.000 0.500 0.000
Co1 Co 0.500 0.500 0.500
Ni1 Ni 0.000 0.000 0.000

=====

Entry D
# Ga3CoNi (PBE, relaxed)
# V ... 88 Å³/cell
# D(E_F) ... 4.01 states/eV/f.u.
data_Ga3CoNi
_chemical_formula_sum 'Ga3 Co1 Ni1'
_cell_length_a 4.450
_cell_length_b 4.450
_cell_length_c 4.450
_cell_angle_alpha 90.00
_cell_angle_beta 90.00
_cell_angle_gamma 90.00
_symmetry_space_group_name_H-M 'P 1'
_symmetry_Int_Tables_number 1
loop_
_symmetry_equiv_pos_as_xyz
'x,y,z'
loop_
_atom_site_label
_atom_site_type_symbol
_atom_site_fract_x
_atom_site_fract_y
_atom_site_fract_z
Ga1 Ga 0.500 0.000 0.000
Ga2 Ga 0.000 0.000 0.500
Ga3 Ga 0.000 0.500 0.000
Ni1 Ni 0.500 0.500 0.500
Co1 Co 0.000 0.000 0.000

=====

What should be chosen as the least stable of them? Choose entry C.

=====

Entry A
# Ga3Co2Ni (PBE, relaxed)
# V ... 73 Å³/cell
# D(E_F) ... 2.73 states/eV/f.u.
data_Ga3Co2Ni
_chemical_formula_sum 'Ga3 Co2 Ni1'
_cell_length_a 2.821
_cell_length_b 2.821
_cell_length_c 9.157
_cell_angle_alpha 90.00
_cell_angle_beta 90.00
_cell_angle_gamma 90.00
_symmetry_space_group_name_H-M 'P 1'
_symmetry_Int_Tables_number 1
loop_
_symmetry_equiv_pos_as_xyz
'x,y,z'
loop_
_atom_site_label
_atom_site_type_symbol
_atom_site_fract_x
_atom_site_fract_y
_atom_site_fract_z
Ga1 Ga 0.000 0.000 0.000
Ga2 Ga 0.000 0.000 0.329
Ga3 Ga 0.000 0.000 0.671
Co1 Co 0.500 0.500 0.836
Co2 Co 0.500 0.500 0.164
Ni1 Ni 0.500 0.500 0.500

=====

Entry B
# Ga3Co2Ni (PBE, relaxed)
# V ... 146 Å³/cell
# D(E_F) ... 3.55 states/eV/f.u.
data_Ga3Co2Ni
_chemical_formula_sum 'Ga6 Co4 Ni2'
_cell_length_a 4.099
_cell_length_b 4.099
_cell_length_c 10.029
_cell_angle_alpha 90.00
_cell_angle_beta 90.00
_cell_angle_gamma 120.00
_symmetry_space_group_name_H-M 'P 1'
_symmetry_Int_Tables_number 1
loop_
_symmetry_equiv_pos_as_xyz
'x,y,z'
loop_
_atom_site_label
_atom_site_type_symbol
_atom_site_fract_x
_atom_site_fract_y
_atom_site_fract_z
Ga1 Ga 0.333 0.667 0.416
Ga2 Ga 0.333 0.667 0.918
Ga3 Ga 0.000 0.000 0.752
Ga4 Ga 0.667 0.333 0.584
Ga5 Ga 0.667 0.333 0.082
Ga6 Ga 0.000 0.000 0.248
Co1 Co 0.667 0.333 0.834
Co2 Co 0.000 0.000 0.000
Co3 Co 0.333 0.667 0.166
Co4 Co 0.000 0.000 0.500
Ni1 Ni 0.667 0.333 0.333
Ni2 Ni 0.333 0.667 0.667

=====

What should be chosen as the least stable of them? Choose entry B.

=====

Entry A
# NpGa3Co (PBE, relaxed)
# V ... 93 Å³/cell
# D(E_F) ... 6.85 states/eV/f.u.
data_NpGa3Co
_chemical_formula_sum 'Np1 Ga3 Co1'
_cell_length_a 4.527
_cell_length_b 4.527
_cell_length_c 4.527
_cell_angle_alpha 90.00
_cell_angle_beta 90.00
_cell_angle_gamma 90.00
_symmetry_space_group_name_H-M 'P 1'
_symmetry_Int_Tables_number 1
loop_
_symmetry_equiv_pos_as_xyz
'x,y,z'
loop_
_atom_site_label
_atom_site_type_symbol
_atom_site_fract_x
_atom_site_fract_y
_atom_site_fract_z
Co1 Co 0.000 0.000 0.000
Ga1 Ga 0.000 0.500 0.000
Ga2 Ga 0.500 0.000 0.000
Ga3 Ga 0.000 0.000 0.500
Np1 Np 0.500 0.500 0.500

=====

Entry B
# NpGa3Co (PBE, relaxed)
# V ... 321 Å³/cell
# D(E_F) ... 4.80 states/eV/f.u.
data_NpGa3Co
_chemical_formula_sum 'Np4 Ga12 Co4'
_cell_length_a 3.599
_cell_length_b 7.943
_cell_length_c 11.218
_cell_angle_alpha 90.00
_cell_angle_beta 90.00
_cell_angle_gamma 90.00
_symmetry_space_group_name_H-M 'P 1'
_symmetry_Int_Tables_number 1
loop_
_symmetry_equiv_pos_as_xyz
'x,y,z'
loop_
_atom_site_label
_atom_site_type_symbol
_atom_site_fract_x
_atom_site_fract_y
_atom_site_fract_z
Co1 Co 0.750 0.370 0.137
Co2 Co 0.750 0.870 0.363
Co3 Co 0.250 0.130 0.637
Co4 Co 0.250 0.630 0.863
Np1 Np 0.250 0.104 0.000
Np2 Np 0.750 0.396 0.500
Np3 Np 0.750 0.896 0.000
Np4 Np 0.250 0.604 0.500
Ga1 Ga 0.750 0.430 0.926
Ga2 Ga 0.750 0.149 0.782
Ga3 Ga 0.750 0.604 0.272
Ga4 Ga 0.250 0.851 0.218
Ga5 Ga 0.250 0.396 0.728
Ga6 Ga 0.750 0.930 0.574
Ga7 Ga 0.250 0.896 0.772
Ga8 Ga 0.250 0.351 0.282
Ga9 Ga 0.750 0.104 0.228
Ga10 Ga 0.250 0.070 0.426
Ga11 Ga 0.250 0.570 0.074
Ga12 Ga 0.750 0.649 0.718

=====

What should be chosen as the least stable of them? Choose entry A.